# Y3Er5Tm2

A relaxed Y3Er5Tm2 crystal (GGA-PBE, Alexandria via LeMat-Bulk).

Cell lengths 9.4464, 9.4464, 9.4101 Å; angles 108.34, 108.34, 111.90 degrees
Fractional positions:
1 Y 0.0166 0.9834 0.7500
2 Y 0.2225 0.4822 0.4557
3 Y 0.4822 0.2225 0.9557
4 Y 0.5178 0.7775 0.0443
5 Y 0.7775 0.5178 0.5443
6 Y 0.9834 0.0166 0.2500
7 Er 0.1097 0.3931 0.7551
8 Er 0.2192 0.7808 0.7500
9 Er 0.2800 0.7200 0.2500
10 Er 0.3931 0.1097 0.2551
11 Er 0.4798 0.5202 0.2500
12 Er 0.5202 0.4798 0.7500
13 Er 0.6069 0.8903 0.7449
14 Er 0.7200 0.2800 0.7500
15 Er 0.7808 0.2192 0.2500
16 Er 0.8903 0.6069 0.2449
17 Tm 0.0162 0.2820 0.0491
18 Tm 0.2820 0.0162 0.5491
19 Tm 0.7180 0.9838 0.4509
20 Tm 0.9838 0.7180 0.9509

SG: C2/c, No. 15
Raw total energy in eV/f.u.: -49.1
Calculated volume in A^3/atom: 32.22
N(E_F) in states/eV/cell: 31.773

=====

# Ca2TcAs

A relaxed Ca2TcAs crystal (GGA-PBE, Alexandria via LeMat-Bulk).

Cell lengths 4.4589, 4.4589, 8.5958 Å; angles 90.00, 90.00, 90.00 degrees
Fractional positions:
1 Ca 0.0000 0.5000 0.2500
2 Ca 0.0000 0.5000 0.7500
3 Ca 0.5000 0.0000 0.2500
4 Ca 0.5000 0.0000 0.7500
5 Tc 0.0000 0.0000 0.0000
6 Tc 0.5000 0.5000 0.5000
7 As 0.0000 0.0000 0.5000
8 As 0.5000 0.5000 0.0000

SG: I4/mmm, No. 139
Raw total energy in eV/f.u.: -18.6
Calculated volume in A^3/atom: 21.36
N(E_F) in states/eV/cell: 6.924

=====

# BaP2Rh

A relaxed BaP2Rh crystal (GGA-PBE, Alexandria via LeMat-Bulk).

Cell lengths 6.9040, 6.9040, 6.9040 Å; angles 90.00, 90.00, 90.00 degrees
Fractional positions:
1 Ba 0.0000 0.0000 0.0000
2 Ba 0.0000 0.5000 0.5000
3 Ba 0.5000 0.0000 0.5000
4 Ba 0.5000 0.5000 0.0000
5 P 0.2500 0.2500 0.2500
6 P 0.2500 0.2500 0.7500
7 P 0.2500 0.7500 0.2500
8 P 0.2500 0.7500 0.7500
9 P 0.7500 0.2500 0.2500
10 P 0.7500 0.2500 0.7500
11 P 0.7500 0.7500 0.2500
12 P 0.7500 0.7500 0.7500
13 Rh 0.0000 0.0000 0.5000
14 Rh 0.0000 0.5000 0.0000
15 Rh 0.5000 0.0000 0.0000
16 Rh 0.5000 0.5000 0.5000

SG: Fm-3m, No. 225
Raw total energy in eV/f.u.: -19.6
Calculated volume in A^3/atom: 20.57
N(E_F) in states/eV/cell: 20.231